1.
Density functional theory data (PBE) for a geometry-optimized GdThGaNi structure.

Results
* calculated formation energy: -0.330 eV/atom
* calculated volume: 91 Å³/cell
* SG: F-43m, No. 216

Structure (extended XYZ):
```
4
Lattice="-0.7560 4.8030 -1.3759 -0.7578 1.1457 -4.8627 -4.5682 1.4915 -1.5620" Properties=species:S:1:pos:R:3 pbc="T T T"
Gd -1.5205 1.8601 -1.9502
Th -4.5615 5.5802 -5.8505
Ni -3.0410 3.7201 -3.9003
Ga 0.0000 0.0000 0.0000
```

***

2.
Density functional theory data (PBE) for a geometry-optimized Sm2UTc2 structure.

Results
* calculated formation energy: -0.148 eV/atom
* calculated volume: 237 Å³/cell
* SG: C2/c, No. 15

Structure (extended XYZ):
```
10
Lattice="5.7758 0.0373 0.8189 2.5698 5.1727 0.8189 -0.0425 -0.0265 7.9431" Properties=species:S:1:pos:R:3 pbc="T T T"
Sm 5.8063 2.7523 3.8379
Sm 2.4968 2.4312 5.7431
Tc 4.3239 0.0204 4.6915
U 5.3513 0.6462 6.7763
Tc 1.9383 3.8890 0.7199
Sm 3.3019 1.1888 1.7715
Tc 6.3647 1.2945 8.8611
U 2.9517 4.5373 2.8047
Sm 5.0012 3.9947 7.8095
Tc 3.9792 5.1630 4.8895
```

***

3.
Density functional theory data (PBE) for a geometry-optimized Zn2Sn2Ru structure.

Results
* energy relative to the lowest polymorph listed for this composition: 0 meV per atom
* calculated formation energy: 0.290 eV/atom
* calculated volume: 188 Å³/cell
* SG: P4/mbm, No. 127

Structure (extended XYZ):
```
10
Lattice="6.9045 0.0000 0.0000 0.0000 6.9045 0.0000 0.0000 0.0000 3.9490" Properties=species:S:1:pos:R:3 pbc="T T T"
Zn 2.5382 5.9904 0.0000
Zn 5.9904 4.3664 0.0000
Sn 4.6704 5.6864 1.9745
Ru 3.4523 3.4523 0.0000
Zn 0.9141 2.5382 0.0000
Ru 0.0000 0.0000 0.0000
Sn 1.2181 4.6704 1.9745
Sn 2.2342 1.2181 1.9745
Zn 4.3664 0.9141 0.0000
Sn 5.6864 2.2342 1.9745
```

***

4.
Density functional theory data (PBE) for a geometry-optimized KNa6In4 structure.

Results
* calculated formation energy: -0.082 eV/atom
* calculated volume: 397 Å³/cell
* SG: I-42m, No. 121

Structure (extended XYZ):
```
11
Lattice="-5.5049 -0.0061 -5.9773 2.1194 -7.6000 -1.9442 -2.4455 1.6735 7.7742" Properties=species:S:1:pos:R:3 pbc="T T T"
Na -3.4239 -3.5426 -0.1976
Na -4.7534 -6.5294 -3.3083
In -0.8859 -4.4660 4.6668
Na -3.2394 0.5944 0.8137
K -1.6928 -3.8030 -3.9608
Na -0.2454 -2.3877 2.3975
Na 1.0597 -3.8000 -0.9721
In -3.4693 -6.7589 -6.1680
Na -2.7525 -0.0030 -2.9886
In -6.1951 0.8221 1.8584
In -1.1118 -1.4624 -0.6518
```

***

5.
Density functional theory data (PBE) for a geometry-optimized NaTc2P structure.

Results
* calculated formation energy: 0.691 eV/atom
* calculated volume: 183 Å³/cell
* SG: I4_1/amd, No. 141

Structure (extended XYZ):
```
8
Lattice="4.7099 0.0000 0.0000 0.0000 4.7099 0.0000 2.3550 2.3550 8.2560" Properties=species:S:1:pos:R:3 pbc="T T T"
Na 2.3550 2.3550 0.0000
Tc 3.5325 2.3551 6.1920
P 0.0000 0.0000 0.0000
Tc 5.8874 2.3549 6.1920
P 4.7099 2.3550 4.1280
Na 2.3550 4.7099 4.1280
Tc 4.7101 3.5325 2.0640
Tc 4.7098 1.1775 2.0640
```

***

6.
Density functional theory data (PBE) for a geometry-optimized DyMgNi structure.

Results
* calculated formation energy: -0.159 eV/atom
* calculated volume: 67 Å³/cell
* SG: F-43m, No. 216

Structure (extended XYZ):
```
3
Lattice="-1.2133 3.2387 2.9643 0.5394 -0.6865 4.4706 3.1934 2.3044 2.2891" Properties=species:S:1:pos:R:3 pbc="T T T"
Mg 0.0000 0.0000 0.0000
Dy 1.2597 2.4283 4.8620
Ni 0.6299 1.2142 2.4310
```

***

7.
Density functional theory data (PBE) for a geometry-optimized Mg3Cd3CuPd2 structure.

Results
* calculated formation energy: -0.319 eV/atom
* calculated volume: 164 Å³/cell
* SG: P-62m, No. 189

Structure (extended XYZ):
```
9
Lattice="3.0197 0.0000 0.0000 0.0000 7.9156 0.0000 0.0000 -3.9578 6.8551" Properties=species:S:1:pos:R:3 pbc="T T T"
Pd 1.5098 0.0000 4.5701
Mg 0.0000 2.4335 4.2150
Mg 0.0000 -1.5242 2.6401
Cd 1.5098 1.1370 1.9694
Mg 0.0000 3.0485 0.0000
Cd 1.5098 -2.8207 4.8857
Cu 0.0000 0.0000 0.0000
Cd 1.5098 5.6415 0.0000
Pd 1.5098 3.9578 2.2850
```

***

8.
Density functional theory data (PBE) for a geometry-optimized Sm4Er3ThS8 structure.

Results
* calculated total energy: -104.4 eV per cell
* calculated volume: 352 Å³/cell
* SG: R-3m, No. 166

Structure (extended XYZ):
```
16
Lattice="7.9208 0.0000 0.0000 0.0000 7.9299 0.0002 -3.9604 -3.9570 5.6039" Properties=species:S:1:pos:R:3 pbc="T T T"
S 3.9604 0.0805 2.7909
S 2.0262 2.0130 0.0541
S 0.0000 0.0802 2.8558
Sm 1.9802 -1.9785 2.8019
Er 1.9802 1.9864 2.8020
Sm 3.9604 0.0000 0.0000
Sm 0.0000 0.0000 0.0000
S 0.0000 3.8924 2.8131
Th 0.0000 3.9649 0.0001
Er -1.9802 1.9864 2.8020
Er 3.9604 3.9649 0.0001
S 5.8946 2.0130 0.0541
S 1.9342 1.9599 5.5499
Sm -1.9802 -1.9785 2.8019
S -1.9342 1.9599 5.5499
S 3.9604 3.8927 2.7483
```

***

DOS at the Fermi energy: 0.970; 0.867; 0.695; 0.520; 1.054; 0.747; 0.345; 0.559 (states/eV per atom)